Entry from Alexandria: a relaxed Tb2Er8In crystal (PBE). Values from VASP.

## Properties
Formation energy from the elements   -0.054 eV per atom
Total magnetic moment   0.00 Bohr magnetons per cell
DOS(E_F)   15.02 states/eV per cell

Quantum ESPRESSO input file:
```
&SYSTEM
  ibrav = 0, nat = 11, ntyp = 3
/
ATOMIC_SPECIES
Tb 158.93 Tb.upf
Er 167.26 Er.upf
In 114.82 In.upf
CELL_PARAMETERS angstrom
9.6022 -2.7430 0.0000
9.6022 2.7430 0.0000
-0.5593 0.0000 6.3449
ATOMIC_POSITIONS crystal
Tb 0.2435 0.2435 0.3343
Tb 0.7565 0.7565 0.6657
Er 0.0449 0.0449 0.2655
Er 0.1529 0.1529 0.8067
Er 0.3386 0.3386 0.8775
Er 0.4214 0.4214 0.4041
Er 0.5786 0.5786 0.5959
Er 0.6614 0.6614 0.1225
Er 0.8471 0.8471 0.1933
Er 0.9551 0.9551 0.7345
In 0.5000 0.5000 0.0000
```

---

Entry from Alexandria: a relaxed Tb6Er3In crystal (PBE). Values from VASP.

## Properties
Excess energy over the best structure of this formula in the dataset   76 meV/atom
Formation energy from the elements   0.005 eV per atom
Total magnetic moment   0.00 Bohr magnetons per cell
DOS(E_F)   22.65 states/eV per cell

Quantum ESPRESSO input file:
```
&SYSTEM
  ibrav = 0, nat = 20, ntyp = 3
/
ATOMIC_SPECIES
Tb 158.93 Tb.upf
Er 167.26 Er.upf
In 114.82 In.upf
CELL_PARAMETERS angstrom
4.8134 -10.1350 0.0000
4.8134 10.1350 0.0000
0.0000 0.0000 6.2895
ATOMIC_POSITIONS crystal
Tb 0.0156 0.9844 0.5000
Tb 0.1008 0.5364 0.9725
Tb 0.2595 0.3736 0.7532
Tb 0.2878 0.7122 0.5250
Tb 0.3736 0.2595 0.2532
Tb 0.4636 0.8992 0.9725
Tb 0.5364 0.1008 0.4725
Tb 0.6264 0.7405 0.7532
Tb 0.7122 0.2878 0.0250
Tb 0.7405 0.6264 0.2532
Tb 0.8992 0.4636 0.4725
Tb 0.9844 0.0156 0.0000
Er 0.0421 0.2956 0.3206
Er 0.2956 0.0421 0.8206
Er 0.4140 0.5860 0.2268
Er 0.5860 0.4140 0.7268
Er 0.7044 0.9579 0.3206
Er 0.9579 0.7044 0.8206
In 0.1524 0.8476 0.2617
In 0.8476 0.1524 0.7617
```

---

Entry from Alexandria: a relaxed Tb5Er4In2 crystal (PBE). Values from VASP.

## Properties
Formation energy from the elements   0.030 eV per atom
Total magnetic moment   0.00 Bohr magnetons per cell
DOS(E_F)   16.26 states/eV per cell

Quantum ESPRESSO input file:
```
&SYSTEM
  ibrav = 0, nat = 11, ntyp = 3
/
ATOMIC_SPECIES
Tb 158.93 Tb.upf
Er 167.26 Er.upf
In 114.82 In.upf
CELL_PARAMETERS angstrom
12.2300 -1.7234 0.0000
12.2300 1.7234 0.0000
-0.0199 0.0000 8.0639
ATOMIC_POSITIONS crystal
Tb 0.0000 0.0000 0.0000
Tb 0.2749 0.2749 0.7034
Tb 0.3406 0.3406 0.1014
Tb 0.6594 0.6594 0.8986
Tb 0.7251 0.7251 0.2966
Er 0.4113 0.4113 0.7355
Er 0.4557 0.4557 0.3430
Er 0.5443 0.5443 0.6570
Er 0.5887 0.5887 0.2645
In 0.1528 0.1528 0.5589
In 0.8472 0.8472 0.4411
```